No. 1
# Rb4U3PaO12 PBE-GGA relaxed
data_Rb4U3PaO12
_chemical_formula_sum 'Rb8 U6 Pa2 O24'
_symmetry_space_group_name_H-M 'I m -3 m'
_symmetry_Int_Tables_number 229
_symmetry_space_group_name_Hall '-I 4 2 3'
_cell_length_a 8.745
_cell_length_b 8.745
_cell_length_c 8.745
_cell_angle_alpha 90.00
_cell_angle_beta 90.00
_cell_angle_gamma 90.00
loop_
_atom_site_label
_atom_site_type_symbol
_atom_site_fract_x
_atom_site_fract_y
_atom_site_fract_z
Rb1 Rb 0.250 0.250 0.250
U1 U 0.000 0.000 0.500
Pa1 Pa 0.000 0.000 0.000
O1 O 0.000 0.000 0.251
O2 O 0.000 0.250 0.500
# E_form (uncorrected) ... -2940.1 meV per atom
# Total magnetization ... 6.0 μB/cell
# Density of states at the Fermi level ... 0.58 states/eV/f.u.
# Theoretical density ... 7.3 g/cm³
# Crystal system ... cubic
# Volume ... 16.72 A^3/atom

=====

No. 2
# Tl2PbSe4 PBE-GGA relaxed
data_Tl2PbSe4
_chemical_formula_sum 'Tl2 Pb1 Se4'
_symmetry_space_group_name_H-M 'P -4 2 m'
_symmetry_Int_Tables_number 111
_symmetry_space_group_name_Hall 'P -4 2'
_cell_length_a 6.050
_cell_length_b 6.050
_cell_length_c 6.889
_cell_angle_alpha 90.00
_cell_angle_beta 90.00
_cell_angle_gamma 90.00
loop_
_atom_site_label
_atom_site_type_symbol
_atom_site_fract_x
_atom_site_fract_y
_atom_site_fract_z
Tl1 Tl 0.000 0.500 0.000
Pb1 Pb 0.000 0.000 0.500
Se1 Se 0.278 0.278 0.758
# E_form (uncorrected) ... -207.8 meV per atom
# Total magnetization ... 0.0 μB/cell
# Density of states at the Fermi level ... 1.12 states/eV/f.u.
# Theoretical density ... 6.1 g/cm³
# Crystal system ... tetragonal
# Volume ... 36.03 A^3/atom

=====

No. 3
# Na2HgPbI4 PBE-GGA relaxed
data_Na2HgPbI4
_chemical_formula_sum 'Na4 Hg2 Pb2 I8'
_symmetry_space_group_name_H-M 'C 1 2/m 1'
_symmetry_Int_Tables_number 12
_symmetry_space_group_name_Hall '-C 2y'
_cell_length_a 15.227
_cell_length_b 4.694
_cell_length_c 9.290
_cell_angle_alpha 90.00
_cell_angle_beta 107.55
_cell_angle_gamma 90.00
loop_
_atom_site_label
_atom_site_type_symbol
_atom_site_fract_x
_atom_site_fract_y
_atom_site_fract_z
Na1 Na 0.224 0.000 0.220
Hg1 Hg 0.000 0.500 0.000
Pb1 Pb 0.000 0.000 0.500
I1 I 0.129 0.500 0.418
I2 I 0.153 0.000 0.831
# E_form (uncorrected) ... -806.2 meV per atom
# Total magnetization ... 0.0 μB/cell
# Density of states at the Fermi level ... 0.00 states/eV/f.u.
# Theoretical density ... 5.0 g/cm³
# Crystal system ... monoclinic
# Volume ... 39.57 A^3/atom

=====

No. 4
# Hg2HRh PBE-GGA relaxed
data_Hg2HRh
_chemical_formula_sum 'Hg4 H2 Rh2'
_symmetry_space_group_name_H-M 'P 63/m m c'
_symmetry_Int_Tables_number 194
_symmetry_space_group_name_Hall '-P 6c 2c'
_cell_length_a 3.1889
_cell_length_b 3.1889
_cell_length_c 14.0151
_cell_angle_alpha 90.00
_cell_angle_beta 90.00
_cell_angle_gamma 120.00
loop_
_atom_site_label
_atom_site_type_symbol
_atom_site_fract_x
_atom_site_fract_y
_atom_site_fract_z
Hg1 Hg 0.3333 0.6667 0.0901
H1 H 0.3333 0.6667 0.7500
Rh1 Rh 0.0000 0.0000 0.2500
# Total magnetization ... 0.0 μB/cell
# Density of states at the Fermi level ... 1.11 states/eV/f.u.
# Theoretical density ... 13.6 g/cm³
# Crystal system ... hexagonal
# Volume ... 15.43 A^3/atom
# Offset from the most stable computed form ... 0 meV per atom

=====

No. 5
# NiS2BrCl PBE-GGA relaxed
data_NiS2BrCl
_chemical_formula_sum 'Ni1 S2 Br1 Cl1'
_symmetry_space_group_name_H-M 'P 4/m m m'
_symmetry_Int_Tables_number 123
_symmetry_space_group_name_Hall '-P 4 2'
_cell_length_a 4.557
_cell_length_b 4.557
_cell_length_c 4.554
_cell_angle_alpha 90.00
_cell_angle_beta 90.00
_cell_angle_gamma 90.00
loop_
_atom_site_label
_atom_site_type_symbol
_atom_site_fract_x
_atom_site_fract_y
_atom_site_fract_z
Ni1 Ni 0.000 0.000 0.000
S1 S 0.000 0.500 0.000
Br1 Br 0.500 0.500 0.500
Cl1 Cl 0.000 0.000 0.500
# E_form (uncorrected) ... 412.1 meV per atom
# Total magnetization ... 0.0 μB/cell
# Density of states at the Fermi level ... 5.93 states/eV/f.u.
# Theoretical density ... 4.2 g/cm³
# Crystal system ... tetragonal
# Volume ... 18.91 A^3/atom
# Offset from the most stable computed form ... 0 meV per atom

=====

No. 6
# LaNiRuCl2 PBE-GGA relaxed
data_LaNiRuCl2
_chemical_formula_sum 'La1 Ni1 Ru1 Cl2'
_symmetry_space_group_name_H-M 'P 4/m m m'
_symmetry_Int_Tables_number 123
_symmetry_space_group_name_Hall '-P 4 2'
_cell_length_a 5.453
_cell_length_b 5.453
_cell_length_c 5.198
_cell_angle_alpha 90.00
_cell_angle_beta 90.00
_cell_angle_gamma 90.00
loop_
_atom_site_label
_atom_site_type_symbol
_atom_site_fract_x
_atom_site_fract_y
_atom_site_fract_z
La1 La 0.000 0.000 0.000
Ni1 Ni 0.000 0.000 0.500
Ru1 Ru 0.500 0.500 0.500
Cl1 Cl 0.000 0.500 0.000
# E_form (uncorrected) ... 408.6 meV per atom
# Total magnetization ... 3.3 μB/cell
# Density of states at the Fermi level ... 2.94 states/eV/f.u.
# Theoretical density ... 4.0 g/cm³
# Crystal system ... tetragonal
# Volume ... 30.91 A^3/atom

=====

- theoretical density of number 2 (Tl2PbSe4)?
  6.1 g/cm³